Entry from the Alexandria database: an optimized crystal structure of Ag4TeRh (GGA-PBEsol).

Properties
DFT total energy = -3.813 eV/atom

abc: 5.3443 5.3443 5.3443
angles: 60.00 60.00 60.00
Closest atoms and distances in Å follow each position.
Fractional positions:
Ag (0.3756, 0.3756, 0.3756)  6 Ag 2.66-2.68
Ag (0.3756, 0.3756, 0.8733)  6 Ag 2.66-2.68
Rh (0.7500, 0.7500, 0.7500)  12 Ag 3.13, 4 Te 3.27
Ag (0.8733, 0.3756, 0.3756)  6 Ag 2.66-2.68
Ag (0.3756, 0.8733, 0.3756)  6 Ag 2.66-2.68
Te (0.0000, 0.0000, 0.0000)  12 Ag 3.13, 4 Rh 3.27